[1]
This record from Alexandria via LeMat-Bulk describes a geometry-optimized SrFe2As structure. The functional is PBE.

Properties
E_tot ... -5.81 eV per atom
Volume ... 80.6 Å³/f.u.
DOS(E_F) ... 0.85 states/eV/atom
DFT formation energy ... 0.00 eV per atom

abc: 3.8431 3.3626 6.4060
angles: 76.75 90.00 90.00
Each line ends with the local moment (μB).
Sites, in units of the cell vectors:
Sr: 0.0000 0.5235 0.5308  -0.01
Fe: 0.0000 0.8053 0.0491  2.48
Fe: 0.5000 0.2737 0.1024  2.52
As: 0.5000 0.8976 0.8177  -0.05


[2]
This record from Alexandria via LeMat-Bulk describes a geometry-optimized Sr4FeAs structure. The functional is PBE.

Properties
E_tot ... -2.49 eV per atom
Volume ... 222.1 Å³/f.u.
DOS(E_F) ... 1.80 states/eV/atom
DFT formation energy ... 0.82 eV per atom

abc: 6.7973 6.7973 6.7973
angles: 60.00 60.00 60.00
Each line ends with the local moment (μB).
Sites, in units of the cell vectors:
Sr: 0.8743 0.3752 0.3752  -0.13
Sr: 0.3752 0.3752 0.3752  -0.13
Sr: 0.3752 0.8743 0.3752  -0.13
Sr: 0.3752 0.3752 0.8743  -0.13
As: 0.7500 0.7500 0.7500  0.03
Fe: 0.0000 0.0000 0.0000  3.13


[3]
This record from Alexandria via LeMat-Bulk describes a geometry-optimized SrFe2As structure. The functional is PBE.

Properties
E_tot ... -5.99 eV per atom
Volume ... 80.5 Å³/f.u.
DOS(E_F) ... 0.70 states/eV/atom
DFT formation energy ... -0.17 eV per atom

abc: 4.1215 4.1215 5.9670
angles: 69.81 69.81 60.01
Each line ends with the local moment (μB).
Sites, in units of the cell vectors:
As: 0.7500 0.7500 0.7500  -0.02
Sr: 0.2500 0.2500 0.2500  -0.09
Fe: 0.4320 0.4320 0.7041  1.61
Fe: 0.0680 0.0680 0.7959  1.61


[4]
This record from Alexandria via LeMat-Bulk describes a geometry-optimized SrFe2As structure. The functional is PBE.

Properties
E_tot ... -5.50 eV per atom
Volume ... 76.5 Å³/f.u.
DOS(E_F) ... 1.02 states/eV/atom
DFT formation energy ... 0.32 eV per atom

abc: 3.3730 3.3730 6.7263
angles: 90.00 90.00 90.00
Each line ends with the local moment (μB).
Sites, in units of the cell vectors:
As: 0.5000 0.5000 0.7500  -0.03
Fe: 0.0000 0.0000 0.5826  2.48
Fe: 0.0000 0.0000 0.9174  2.48
Sr: 0.5000 0.5000 0.2500  -0.06


[5]
This record from Alexandria via LeMat-Bulk describes a geometry-optimized SrFeAs3 structure. The functional is PBE.

Properties
E_tot ... -4.95 eV per atom
Volume ... 107.4 Å³/f.u.
DOS(E_F) ... 1.32 states/eV/atom
DFT formation energy ... -0.13 eV per atom

abc: 4.7533 4.7533 4.7533
angles: 90.00 90.00 90.00
Sites, in units of the cell vectors:
As: 0.5000 0.0000 0.0000
As: 0.0000 0.0000 0.5000
As: 0.0000 0.5000 0.0000
Fe: 0.0000 0.0000 0.0000
Sr: 0.5000 0.5000 0.5000


[6]
This record from Alexandria via LeMat-Bulk describes a geometry-optimized SrFe2As structure. The functional is PBE.

Properties
E_tot ... -5.40 eV per atom
Volume ... 74.8 Å³/f.u.
DOS(E_F) ... 0.85 states/eV/atom
DFT formation energy ... 0.41 eV per atom

abc: 4.7292 4.7292 4.7292
angles: 60.00 60.00 60.00
Each line ends with the local moment (μB).
Sites, in units of the cell vectors:
Sr: 0.2500 0.2500 0.2500  -0.03
Fe: 0.7500 0.7500 0.7500  2.70
Fe: 0.0000 0.0000 0.0000  2.77
As: 0.5000 0.5000 0.5000  0.03


[7]
This record from Alexandria via LeMat-Bulk describes a geometry-optimized SrFe3As3 structure. The functional is PBE.

Properties
E_tot ... -6.29 eV per atom
Volume ... 132.7 Å³/f.u.
DOS(E_F) ... 0.76 states/eV/atom
DFT formation energy ... -0.43 eV per atom

abc: 4.1707 8.5721 8.5721
angles: 120.00 90.00 90.00
Each line ends with the local moment (μB).
Sites, in units of the cell vectors:
Sr: 0.2500 0.6667 0.3333  -0.01
Sr: 0.7500 0.3333 0.6667  -0.01
Fe: 0.2500 0.8594 0.0493  1.65
Fe: 0.2500 0.9507 0.8101  1.65
Fe: 0.7500 0.8101 0.8594  1.65
Fe: 0.2500 0.1899 0.1406  1.65
Fe: 0.7500 0.1406 0.9507  1.65
Fe: 0.7500 0.0493 0.1899  1.65
As: 0.7500 0.9125 0.6416  -0.10
As: 0.2500 0.6416 0.7291  -0.10
As: 0.7500 0.3584 0.2709  -0.10
As: 0.2500 0.2709 0.9125  -0.10
As: 0.2500 0.0875 0.3584  -0.10
As: 0.7500 0.7291 0.0875  -0.10


[8]
This record from Alexandria via LeMat-Bulk describes a geometry-optimized SrFe2As structure. The functional is PBE.

Properties
E_tot ... -6.04 eV per atom
Volume ... 79.5 Å³/f.u.
DOS(E_F) ... 0.95 states/eV/atom
DFT formation energy ... -0.22 eV per atom

abc: 4.0768 4.0768 6.0045
angles: 70.15 70.15 60.01
Each line ends with the local moment (μB).
Sites, in units of the cell vectors:
Fe: 0.9898 0.9898 0.0305  1.73
Fe: 0.3083 0.3083 0.0751  1.97
Sr: 0.5048 0.5048 0.4858  -0.08
As: 0.6971 0.6971 0.9086  -0.01


[9]
This record from Alexandria via LeMat-Bulk describes a geometry-optimized SrFe2As2 structure. The functional is PBE.

Properties
E_tot ... -6.12 eV per atom
Volume ... 91.3 Å³/f.u.
DOS(E_F) ... 0.66 states/eV/atom
DFT formation energy ... -0.54 eV per atom

abc: 3.9699 3.9699 6.4383
angles: 107.94 107.94 90.00
Sites, in units of the cell vectors:
Fe: 0.2501 0.7499 0.5000
Fe: 0.7498 0.2502 0.5000
Sr: 0.0000 0.0000 0.0000
As: 0.3526 0.3526 0.7057
As: 0.6474 0.6474 0.2943


[10]
This record from Alexandria via LeMat-Bulk describes a geometry-optimized SrFe2As structure. The functional is PBE.

Properties
E_tot ... -5.49 eV per atom
Volume ... 79.2 Å³/f.u.
DOS(E_F) ... 0.98 states/eV/atom
DFT formation energy ... 0.32 eV per atom

abc: 5.6505 5.6505 5.6505
angles: 147.85 123.39 66.61
Each line ends with the local moment (μB).
Sites, in units of the cell vectors:
Sr: 0.4893 0.4893 0.0000  -0.07
Fe: 0.0043 0.0043 0.0000  2.16
Fe: 0.8067 0.3067 0.5000  2.88
As: 0.1998 0.6998 0.5000  -0.01


[11]
This record from Alexandria via LeMat-Bulk describes a geometry-optimized SrFeAs4 structure. The functional is PBE.

Properties
E_tot ... -4.59 eV per atom
Volume ... 129.5 Å³/f.u.
DOS(E_F) ... 0.89 states/eV/atom
DFT formation energy ... 0.20 eV per atom

abc: 5.6784 5.6784 5.6784
angles: 60.00 60.00 60.00
Each line ends with the local moment (μB).
Sites, in units of the cell vectors:
Fe: 0.7500 0.7500 0.7500  2.99
Sr: 0.0000 0.0000 0.0000  -0.03
As: 0.3772 0.3772 0.8685  -0.04
As: 0.3772 0.3772 0.3772  -0.04
As: 0.8685 0.3772 0.3772  -0.04
As: 0.3772 0.8685 0.3772  -0.04


[12]
This record from Alexandria via LeMat-Bulk describes a geometry-optimized SrFe2As structure. The functional is PBE.

Properties
E_tot ... -5.77 eV per atom
Volume ... 90.5 Å³/f.u.
DOS(E_F) ... 1.23 states/eV/atom
DFT formation energy ... 0.04 eV per atom

abc: 4.6676 4.6676 8.9418
angles: 74.87 74.87 90.00
Each line ends with the local moment (μB).
Sites, in units of the cell vectors:
Fe: 0.8750 0.6249 0.7500  2.31
Fe: 0.3749 0.1250 0.2500  2.29
Fe: 0.3751 0.6250 0.2500  2.36
Fe: 0.3750 0.6251 0.7500  2.23
As: 0.5000 0.5000 0.0000  -0.01
As: 0.2500 0.7500 0.5000  -0.01
Sr: 0.0000 0.0000 0.0000  -0.05
Sr: 0.7500 0.2500 0.5000  -0.05